Record 1
Density functional theory data (GGA-PBE) for a relaxed CeNd6S8 crystal.

a b c (Å): 11.4945 11.4945 11.4945
angles (deg): 90.00 90.00 90.00
Space group Fm-3m (No. 225)
Inequivalent atoms, fractional coordinates:
Ce 0.0000 0.0000 0.0000
Nd 0.0000 0.2500 0.2500
S 0.0000 0.0000 0.2486
S 0.2500 0.2500 0.2500

As for the uncorrected formation energy: -2.02 eV per atom. For the density of states at the Fermi level, the calculation gives 0.84 states/eV per atom.

***

Record 2
Density functional theory data (GGA-PBE) for a relaxed LaMnAl3 crystal.

a b c (Å): 4.6278 4.6278 4.6278
angles (deg): 90.00 90.00 90.00
Space group Pm-3m (No. 221)
Inequivalent atoms, fractional coordinates:
La 0.0000 0.0000 0.0000
Mn 0.5000 0.5000 0.5000
Al 0.0000 0.5000 0.5000

Its energy of formation is -0.355 eV/atom. For the density of states at the Fermi level, the calculation gives 0.33 states/eV per atom.

***

Record 3
Density functional theory data (GGA-PBE) for a relaxed LiBi2HSe crystal.

a b c (Å): 5.7346 5.7346 4.5707
angles (deg): 90.00 90.00 90.00
Space group P4/mmm (No. 123)
Inequivalent atoms, fractional coordinates:
Li 0.0000 0.0000 0.0000
Bi 0.0000 0.5000 0.5000
H 0.5000 0.5000 0.0000
Se 0.0000 0.0000 0.5000

Its raw total energy is -13.8 eV/cell. For the density of states at the Fermi level, the calculation gives 0.75 states/eV per atom.

***

Record 4
Density functional theory data (GGA-PBE) for a relaxed CaAc7Pr4 crystal.

a b c (Å): 17.2445 6.5594 10.7605
angles (deg): 90.00 122.28 90.00
Space group C2/m (No. 12)
Inequivalent atoms, fractional coordinates:
Ca 0.0000 0.0000 0.0000
Ac 0.0000 0.5000 0.0000
Ac 0.0847 0.0000 0.4413
Ac 0.2052 0.0000 0.8805
Ac 0.2485 0.5000 0.7152
Pr 0.0434 0.5000 0.7023
Pr 0.1758 0.5000 0.3448

Its energy of formation is 0.228 eV/atom. For the density of states at the Fermi level, the calculation gives 1.65 states/eV per atom.

***

Record 5
Density functional theory data (GGA-PBE) for a relaxed MgAsRhSe2 crystal.

a b c (Å): 5.1457 5.1457 4.5116
angles (deg): 90.00 90.00 90.00
Space group P4/mmm (No. 123)
Inequivalent atoms, fractional coordinates:
Mg 0.0000 0.0000 0.0000
As 0.5000 0.5000 0.0000
Rh 0.5000 0.5000 0.5000
Se 0.0000 0.5000 0.5000

As for the uncorrected formation energy: 0.09 eV per atom. For the density of states at the Fermi level, the calculation gives 0.61 states/eV per atom.

***

Record 6
Density functional theory data (GGA-PBE) for a relaxed Li5MgIn8 crystal.

a b c (Å): 8.3326 8.3326 8.8893
angles (deg): 90.00 90.00 90.00
Space group I-4 (No. 82)
Inequivalent atoms, fractional coordinates:
Li 0.0000 0.0000 0.0000
Li 0.1184 0.2098 0.4201
Mg 0.0000 0.5000 0.7500
In 0.0689 0.3295 0.0716
In 0.1062 0.1591 0.7454

Its energy of formation is -0.169 eV/atom. For the density of states at the Fermi level, the calculation gives 0.17 states/eV per atom.